1.
Below is an optimized crystal structure of LiAsHPd2, with properties calculated at the PBE-GGA level.

Cell: 4.034 4.034 3.764 Å, 90.00 90.00 90.00°
Positions (direct):
Pd (0.000, 0.500, 0.000)
Li (0.000, 0.000, 0.500)
As (0.500, 0.500, 0.500)
H (0.000, 0.000, 0.000)
Pd (0.500, 0.000, 0.000)

Summary:
total magnetization: 0.0 Bohr magnetons per cell
total DFT energy (no corrections): -4.44 eV/atom
calculated volume: 12.25 Å³ per atom
DOS(E_F): 2.7 states/eV/f.u.

---

2.
Below is an optimized crystal structure of ZnCuGePd, with properties calculated at the PBE-GGA level.

Cell: 4.352 4.352 4.352 Å, 60.00 60.00 60.00°
Positions (direct):
Pd (0.000, 0.000, 0.000)
Zn (0.750, 0.750, 0.750)
Cu (0.500, 0.500, 0.500)
Ge (0.250, 0.250, 0.250)

Summary:
total magnetization: 0.0 Bohr magnetons per cell
total DFT energy (no corrections): -3.98 eV/atom
calculated volume: 14.57 Å³ per atom
DOS(E_F): 1.7 states/eV/f.u.

---

3.
Below is an optimized crystal structure of Sc3AlO, with properties calculated at the PBE-GGA level.

Cell: 7.633 7.633 7.633 Å, 49.41 49.41 49.41°
Positions (direct):
Sc (0.058, 0.442, 0.750)
Sc (0.942, 0.558, 0.250)
Al (0.500, 0.500, 0.500)
Al (0.000, 0.000, 0.000)
Sc (0.442, 0.750, 0.058)
Sc (0.750, 0.058, 0.442)
O (0.250, 0.250, 0.250)
Sc (0.250, 0.942, 0.558)
Sc (0.558, 0.250, 0.942)
O (0.750, 0.750, 0.750)

Summary:
ΔE_f (raw): -0.933 eV per atom
total magnetization: 0.0 Bohr magnetons per cell
calculated volume: 23.57 Å³ per atom
DOS(E_F): 5.9 states/eV/f.u.